No. 1
A plane-wave DFT calculation with PBE was carried out for Ho2ErSn after structural relaxation.

DFT formation energy: 0.05 eV/atom
Excess energy over the best structure of this formula in the dataset: 174.6 kJ/mol of formula units
Total moment: 0.0 μB per cell

The structure in extended XYZ format:
```
4
Lattice="-0.638 2.871 1.868 -1.968 2.546 -1.336 -10.544 -3.294 4.710" Properties=species:S:1:pos:R:3 pbc="T T T"
Ho -5.144 4.080 1.720
Ho -8.006 -1.956 3.521
Sn 0.000 0.000 0.000
Er -6.575 1.062 2.621
```

=====

No. 2
A plane-wave DFT calculation with PBE was carried out for LaAl2Ag3 after structural relaxation.

DFT formation energy: -0.26 eV/atom
Total moment: 0.0 μB per cell

The structure in extended XYZ format:
```
6
Lattice="4.280 0.000 0.000 0.000 5.784 0.000 0.000 -2.892 5.009" Properties=species:S:1:pos:R:3 pbc="T T T"
Al 0.000 0.000 3.339
Al 0.000 2.892 1.670
Ag 2.140 -1.446 2.505
Ag 2.140 2.892 0.000
Ag 2.140 1.446 2.505
La 0.000 0.000 0.000
```

=====

No. 3
A plane-wave DFT calculation with PBE was carried out for SrLi2TmAu4 after structural relaxation.

DFT formation energy: -0.68 eV/atom
Total moment: 0.0 μB per cell

The structure in extended XYZ format:
```
8
Lattice="4.597 0.000 0.000 2.298 3.981 0.000 2.298 1.327 9.589" Properties=species:S:1:pos:R:3 pbc="T T T"
Li 6.895 3.981 6.981
Li 2.298 1.327 2.609
Au 4.597 2.654 1.900
Au 2.298 1.327 6.202
Au 6.895 3.981 3.387
Au 4.597 2.654 7.689
Tm 4.597 2.654 4.795
Sr 0.000 0.000 0.000
```

=====

No. 4
A plane-wave DFT calculation with PBE was carried out for K2Rb4GaP2 after structural relaxation.

DFT formation energy: -0.20 eV/atom
Total moment: 0.0 μB per cell

The structure in extended XYZ format:
```
9
Lattice="-3.720 3.485 0.623 -12.079 -5.398 -0.061 -8.946 -3.678 9.028" Properties=species:S:1:pos:R:3 pbc="T T T"
K -5.129 -2.122 2.170
K -19.617 -3.469 7.420
P -21.575 -5.762 8.529
P -3.171 0.172 1.061
Ga -1.860 1.742 0.311
Rb -14.792 -2.270 8.366
Rb -8.260 -2.391 6.137
Rb -9.954 -3.321 1.224
Rb -16.486 -3.200 3.453
```